## SiHgAs2Br (SCAN)

Data for SiHgAs2Br at its PBEsol-relaxed geometry.

Calculated values
Crystal system: tetragonal
Spin magnetization: 1.14 μB per formula unit
Distance to the lowest polymorph of the same formula: 0.00 kcal/mol of atoms
Symmetry: P4/mmm
N(E_F): 2.32 states/eV/cell
E_form (uncorrected): 522.0 meV/atom
Calculated volume: 115.8 Å³/f.u.

a = 4.812 Å, b = 4.812 Å, c = 5.002 Å
α = 90.00°, β = 90.00°, γ = 90.00°
Fractional coordinates of all 5 atoms:
Si (0.000, 0.000, 0.000)
Hg (0.500, 0.500, 0.500)
As (0.000, 0.500, 0.000)
As (0.500, 0.000, 0.000)
Br (0.000, 0.000, 0.500)